DFT (PBE) results for a relaxed structure of EuHg2Te.

Cell: 5.740 4.553 4.553 Å, 90.00 90.00 90.00°
Last column: magnetic moment on the atom in μB.
Element x y z (fractional)
Eu 0.500 0.000 0.000  6.82
Te 0.500 0.500 0.500  -0.09
Hg 0.000 0.000 0.500  -0.02
Hg 0.000 0.500 0.000  -0.02

Summary:
The total DFT energy (no corrections) comes out at -4.218 eV/atom. The calculation puts the total moment at 6.9 Bohr magnetons per cell.